This record from Alexandria describes a relaxed structure of AlCr2Pt. The functional is GGA-PBE.

The calculation puts the formation energy at 421 meV/atom. The value obtained for the density of states at the Fermi level is 21.31 states/eV per cell. Its final energy is -6.836 eV per atom.

It has space group I-42d (No. 122), with a = 6.963 Å, b = 6.963 Å, c = 4.927 Å, α = 90.00°, β = 90.00° and γ = 90.00°. Symmetry generates all atoms from Al at (0.000, 0.000, 0.000), Cr at (0.237, 0.750, 0.625) and Pt at (0.000, 0.000, 0.500).

***

This record from Alexandria describes a relaxed structure of BaCuP. The functional is GGA-PBE.

The calculation puts the formation energy at -544 meV/atom. Its final energy is -4.354 eV per atom.

It has space group P4/nmm (No. 129, origin choice 2), with a = 6.426 Å, b = 6.426 Å, c = 4.324 Å, α = 90.00°, β = 90.00° and γ = 90.00°. Symmetry generates all atoms from Ba at (0.250, 0.750, 0.000), Cu at (0.250, 0.250, 0.342) and P at (0.250, 0.250, 0.836).

***

This record from Alexandria describes a relaxed structure of Ho12Co7. The functional is GGA-PBE.

The calculation puts the formation energy at -198 meV/atom. The value obtained for the density of states at the Fermi level is 30.75 states/eV per cell. Its final energy is -5.707 eV per atom.

It has space group P2_1/c (No. 14), with a = 8.247 Å, b = 11.172 Å, c = 10.964 Å, α = 90.00°, β = 125.24° and γ = 90.00°. Symmetry generates all atoms from Ho at (0.003, 0.159, 0.342), Ho at (0.236, 0.570, 0.808), Ho at (0.252, 0.199, 0.177), Ho at (0.264, 0.706, 0.539), Ho at (0.268, 0.071, 0.914), Ho at (0.342, 0.503, 0.145), Co at (0.000, 0.000, 0.000), Co at (0.005, 0.100, 0.600), Co at (0.399, 0.685, 0.341) and Co at (0.408, 0.179, 0.475).

***

This record from Alexandria describes a relaxed structure of PmDyBi2. The functional is GGA-PBE.

The calculation puts the formation energy at -787 meV/atom. The value obtained for the density of states at the Fermi level is 1.43 states/eV per cell. Its offset from the most stable computed form is 111 meV per atom. Its final energy is -5.065 eV per atom.

It has space group R3m (No. 160, hexagonal axes), with a = 4.4957 Å, b = 4.4957 Å, c = 23.0689 Å, α = 90.00°, β = 90.00° and γ = 120.00°. Symmetry generates all atoms from Pm at (0.0000, 0.0000, 0.0000), Dy at (0.0000, 0.0000, 0.8292), Bi at (0.0000, 0.0000, 0.4151) and Bi at (0.0000, 0.0000, 0.5805).

***

This record from Alexandria describes a relaxed structure of Ba6Sr2PdRh. The functional is GGA-PBE.

The calculation puts the formation energy at -199 meV/atom. The value obtained for the density of states at the Fermi level is 37.66 states/eV per cell. Its final energy is -2.944 eV per atom.

It has space group Fmm2 (No. 42), with a = 12.657 Å, b = 12.668 Å, c = 12.671 Å, α = 90.00°, β = 90.00° and γ = 90.00°. Symmetry generates all atoms from Ba at (0.000, 0.000, 0.000), Ba at (0.000, 0.000, 0.492), Ba at (0.000, 0.246, 0.245), Ba at (0.246, 0.000, 0.245), Sr at (0.250, 0.250, 0.495), Pd at (0.000, 0.000, 0.746) and Rh at (0.000, 0.000, 0.246).

***

This record from Alexandria describes a relaxed structure of Be12Fe. The functional is GGA-PBE.

The calculation puts the formation energy at -56 meV/atom. The value obtained for the density of states at the Fermi level is 6.74 states/eV per cell. Its final energy is -4.146 eV per atom.

It has space group I4/mmm (No. 139), with a = 7.131 Å, b = 7.131 Å, c = 4.093 Å, α = 90.00°, β = 90.00° and γ = 90.00°. Symmetry generates all atoms from Be at (0.000, 0.210, 0.000), Be at (0.000, 0.346, 0.500), Be at (0.250, 0.250, 0.250) and Fe at (0.000, 0.000, 0.500).

***

This record from Alexandria describes a relaxed structure of La2BeCl. The functional is GGA-PBE.

The value obtained for the density of states at the Fermi level is 5.92 states/eV per cell. Its offset from the most stable computed form is 116 meV per atom. Its final energy is -4.428 eV per atom.

It has space group Amm2 (No. 38), with a = 4.877 Å, b = 3.550 Å, c = 11.519 Å, α = 90.00°, β = 90.00° and γ = 90.00°. Symmetry generates all atoms from La at (0.000, 0.000, 0.000), La at (0.500, 0.000, 0.251), Be at (0.500, 0.000, 0.503) and Cl at (0.000, 0.000, 0.745).

***

This record from Alexandria describes a relaxed structure of Cs2KSiF7. The functional is GGA-PBE.

The value obtained for the density of states at the Fermi level is 0.00 states/eV per cell. Its final energy is -4.998 eV per atom.

It has space group Cmmm (No. 65), with a = 11.529 Å, b = 11.917 Å, c = 6.020 Å, α = 90.00°, β = 90.00° and γ = 90.00°. Symmetry generates all atoms from Cs at (0.000, 0.196, 0.000), Cs at (0.250, 0.250, 0.500), K at (0.197, 0.500, 0.000), Si at (0.000, 0.000, 0.500), Si at (0.000, 0.500, 0.500), F at (0.000, 0.144, 0.500), F at (0.000, 0.399, 0.295), F at (0.106, 0.000, 0.297), F at (0.149, 0.500, 0.500) and F at (0.250, 0.250, 0.000).

***

This record from Alexandria describes a relaxed structure of TaCr2Sb. The functional is GGA-PBE.

The value obtained for the density of states at the Fermi level is 18.26 states/eV per cell. Its offset from the most stable computed form is 308 meV per atom. Its final energy is -8.385 eV per atom.

It has space group F-43m (No. 216), with a = 6.424 Å, b = 6.424 Å, c = 6.424 Å, α = 90.00°, β = 90.00° and γ = 90.00°. Symmetry generates all atoms from Ta at (0.000, 0.000, 0.000), Cr at (0.000, 0.000, 0.500), Cr at (0.250, 0.250, 0.250) and Sb at (0.250, 0.250, 0.750).

***

This record from Alexandria describes a relaxed structure of NpSbAs. The functional is GGA-PBE.

The value obtained for the density of states at the Fermi level is 43.12 states/eV per cell. Its offset from the most stable computed form is 271 meV per atom. Its final energy is -7.348 eV per atom.

It has space group R-3m (No. 166, hexagonal axes), with a = 4.6245 Å, b = 4.6245 Å, c = 25.0508 Å, α = 90.00°, β = 90.00° and γ = 120.00°. Symmetry generates all atoms from Np at (0.0000, 0.0000, 0.0614), Sb at (0.0000, 0.0000, 0.1935) and As at (0.0000, 0.0000, 0.3390).

***

This record from Alexandria describes a relaxed structure of Nd2NpUN6. The functional is GGA-PBE.

The value obtained for the density of states at the Fermi level is 1.17 states/eV per cell. Its final energy is -9.697 eV per atom.

It has space group P2_1/c (No. 14), with a = 5.861 Å, b = 6.020 Å, c = 10.220 Å, α = 90.00°, β = 124.80° and γ = 90.00°. Symmetry generates all atoms from Nd at (0.237, 0.048, 0.250), Np at (0.000, 0.000, 0.500), U at (0.500, 0.000, 0.000), N at (0.162, 0.198, 0.946), N at (0.225, 0.697, 0.945) and N at (0.354, 0.036, 0.751).

***

This record from Alexandria describes a relaxed structure of KPr2HgS4. The functional is GGA-PBE.

The value obtained for the density of states at the Fermi level is 10.41 states/eV per cell. Its final energy is -4.829 eV per atom.

It has space group Cmcm (No. 63), with a = 4.232 Å, b = 14.088 Å, c = 14.707 Å, α = 90.00°, β = 90.00° and γ = 90.00°. Symmetry generates all atoms from K at (0.000, 0.122, 0.250), Pr at (0.000, 0.374, 0.057), Hg at (0.000, 0.156, 0.750), S at (0.000, 0.000, 0.000), S at (0.000, 0.265, 0.606) and S at (0.000, 0.449, 0.250).

***

This record from Alexandria describes a relaxed structure of PrTmInPd. The functional is GGA-PBE.

The calculation puts the formation energy at -551 meV/atom. The value obtained for the density of states at the Fermi level is 13.95 states/eV per cell. Its final energy is -4.847 eV per atom.

It has space group F-43m (No. 216), with a = 7.404 Å, b = 7.404 Å, c = 7.404 Å, α = 90.00°, β = 90.00° and γ = 90.00°. Symmetry generates all atoms from Pr at (0.000, 0.000, 0.000), Tm at (0.000, 0.000, 0.500), In at (0.250, 0.250, 0.250) and Pd at (0.250, 0.250, 0.750).

***

This record from Alexandria describes a relaxed structure of Li3Ac2CdIn4. The functional is GGA-PBE.

The calculation puts the formation energy at -346 meV/atom. The value obtained for the density of states at the Fermi level is 6.24 states/eV per cell. Its final energy is -2.929 eV per atom.

It has space group P-4m2 (No. 115), with a = 4.808 Å, b = 4.808 Å, c = 11.238 Å, α = 90.00°, β = 90.00° and γ = 90.00°. Symmetry generates all atoms from Li at (0.000, 0.000, 0.000), Li at (0.000, 0.500, 0.621), Ac at (0.000, 0.500, 0.249), Cd at (0.500, 0.500, 0.000), In at (0.000, 0.000, 0.500), In at (0.000, 0.500, 0.858) and In at (0.500, 0.500, 0.500).

***

This record from Alexandria describes a relaxed structure of PrSm4ErS8. The functional is GGA-PBE.

The value obtained for the density of states at the Fermi level is 25.49 states/eV per cell. Its final energy is -6.288 eV per atom.

It has space group R3m (No. 160, hexagonal axes), with a = 8.2186 Å, b = 8.2186 Å, c = 20.1947 Å, α = 90.00°, β = 90.00° and γ = 120.00°. Symmetry generates all atoms from Pr at (0.0000, 0.0000, 0.0000), Sm at (0.0000, 0.0000, 0.6241), Sm at (0.1682, 0.3363, 0.8317), Er at (0.0000, 0.0000, 0.3735), S at (0.0000, 0.0000, 0.2442), S at (0.0000, 0.0000, 0.7572), S at (0.0070, 0.5035, 0.7520) and S at (0.1755, 0.3510, 0.5777).

***

This record from Alexandria describes a relaxed structure of KBaNi. The functional is GGA-PBE.

The calculation puts the formation energy at -1 meV/atom. The value obtained for the density of states at the Fermi level is 6.34 states/eV per cell. Its offset from the most stable computed form is 0 meV per atom. Its final energy is -2.934 eV per atom.

It has space group P1 (No. 1), with a = 4.336 Å, b = 4.337 Å, c = 16.290 Å, α = 90.00°, β = 89.98° and γ = 60.00°. Symmetry generates all atoms from K at (0.000, 0.000, 0.000), K at (0.332, 0.334, 0.752), Ba at (0.665, 0.670, 0.501), Ba at (0.666, 0.669, 0.252), Ni at (0.333, 0.336, 0.377) and Ni at (0.999, 0.003, 0.376).

***

This record from Alexandria describes a relaxed structure of KBa2NaP. The functional is GGA-PBE.

The calculation puts the formation energy at -361 meV/atom. The value obtained for the density of states at the Fermi level is 3.26 states/eV per cell. Its offset from the most stable computed form is 0 meV per atom. Its final energy is -2.695 eV per atom.

It has space group P4/mmm (No. 123), with a = 6.330 Å, b = 6.330 Å, c = 6.469 Å, α = 90.00°, β = 90.00° and γ = 90.00°. Symmetry generates all atoms from K at (0.000, 0.000, 0.000), Ba at (0.000, 0.500, 0.500), Na at (0.500, 0.500, 0.000) and P at (0.000, 0.000, 0.500).

***

This record from Alexandria describes a relaxed structure of K2Sn3I8. The functional is GGA-PBE.

The value obtained for the density of states at the Fermi level is 0.00 states/eV per cell. Its offset from the most stable computed form is 11 meV per atom. Its final energy is -2.838 eV per atom.

It has space group C2/m (No. 12), with a = 16.261 Å, b = 9.561 Å, c = 8.011 Å, α = 90.00°, β = 91.30° and γ = 90.00°. Symmetry generates all atoms from K at (0.230, 0.000, 0.016), Sn at (0.000, 0.244, 0.500), Sn at (0.000, 0.500, 0.000), I at (0.113, 0.267, 0.833), I at (0.114, 0.000, 0.383) and I at (0.114, 0.500, 0.331).

***

This record from Alexandria describes a relaxed structure of CsMgHg. The functional is GGA-PBE.

The calculation puts the formation energy at -55 meV/atom. The value obtained for the density of states at the Fermi level is 3.31 states/eV per cell. Its offset from the most stable computed form is 94 meV per atom. Its final energy is -0.972 eV per atom.

It has space group I4mm (No. 107), with a = 4.095 Å, b = 4.095 Å, c = 13.726 Å, α = 90.00°, β = 90.00° and γ = 90.00°. Symmetry generates all atoms from Cs at (0.000, 0.000, 0.000), Mg at (0.000, 0.000, 0.274) and Hg at (0.000, 0.000, 0.715).

***

This record from Alexandria describes a relaxed structure of Cr3TcBr. The functional is GGA-PBE.

The value obtained for the density of states at the Fermi level is 3.16 states/eV per cell. Its offset from the most stable computed form is 0 meV per atom. Its final energy is -6.969 eV per atom.

It has space group Pm-3m (No. 221), with a = 4.801 Å, b = 4.801 Å, c = 4.801 Å, α = 90.00°, β = 90.00° and γ = 90.00°. Symmetry generates all atoms from Cr at (0.000, 0.000, 0.500), Tc at (0.000, 0.000, 0.000) and Br at (0.500, 0.500, 0.500).

***

This record from Alexandria describes a relaxed structure of BaTe2PN. The functional is GGA-PBE.

The value obtained for the density of states at the Fermi level is 5.54 states/eV per cell. Its offset from the most stable computed form is 1573 meV per atom. Its final energy is -2.944 eV per atom.

It has space group P4/mmm (No. 123), with a = 6.707 Å, b = 6.707 Å, c = 4.703 Å, α = 90.00°, β = 90.00° and γ = 90.00°. Symmetry generates all atoms from Ba at (0.000, 0.000, 0.000), Te at (0.000, 0.500, 0.000), P at (0.500, 0.500, 0.500) and N at (0.000, 0.000, 0.500).

***

This record from Alexandria describes a relaxed structure of NdErRuPb. The functional is GGA-PBE.

The calculation puts the formation energy at -419 meV/atom. The value obtained for the density of states at the Fermi level is 1.87 states/eV per cell. Its final energy is -5.998 eV per atom.

It has space group P4mm (No. 99), with a = 3.446 Å, b = 3.446 Å, c = 8.447 Å, α = 90.00°, β = 90.00° and γ = 90.00°. Symmetry generates all atoms from Nd at (0.000, 0.000, 0.000), Er at (0.000, 0.000, 0.598), Ru at (0.500, 0.500, 0.786) and Pb at (0.500, 0.500, 0.311).